! ScCoAg2 (PBE, optimized geometry); values from VASP
! crystal system = tetragonal
! electronic total energy = -4.6779 eV/atom
! D(E_F) = 3.8 states/eV per cell
&SYSTEM
  ibrav = 0, nat = 4, ntyp = 3
/
ATOMIC_SPECIES
Sc 44.96 Sc.upf
Co 58.93 Co.upf
Ag 107.87 Ag.upf
ATOMIC_POSITIONS angstrom
Sc 0.000 0.000 0.000
Co 0.000 0.000 2.774
Ag 1.756 1.756 1.453
Ag 1.756 1.756 4.096
CELL_PARAMETERS angstrom
3.511 0.000 0.000
0.000 3.511 0.000
0.000 0.000 5.549

! In2FeIr (PBE, optimized geometry); values from VASP
! crystal system = cubic
! electronic total energy = -5.3672 eV/atom
! D(E_F) = 5.0 states/eV per cell
&SYSTEM
  ibrav = 0, nat = 4, ntyp = 3
/
ATOMIC_SPECIES
In 114.82 In.upf
Fe 55.84 Fe.upf
Ir 192.22 Ir.upf
ATOMIC_POSITIONS angstrom
In 0.000 0.000 0.000
In 1.633 1.633 1.633
Fe 4.899 4.899 4.899
Ir 3.266 3.266 3.266
CELL_PARAMETERS angstrom
0.000 3.266 3.266
3.266 0.000 3.266
3.266 3.266 0.000

! Cs2TaP2N6 (PBE, optimized geometry); values from VASP
! crystal system = trigonal
! E_form (uncorrected) = -0.387 eV per atom
! D(E_F) = 4.7 states/eV per cell
&SYSTEM
  ibrav = 0, nat = 11, ntyp = 4
/
ATOMIC_SPECIES
Cs 132.91 Cs.upf
Ta 180.95 Ta.upf
P 30.97 P.upf
N 14.01 N.upf
ATOMIC_POSITIONS angstrom
Cs 0.000 0.000 4.411
Cs 0.000 0.000 16.683
Ta 0.000 0.000 0.000
P 0.000 0.000 8.174
P 0.000 0.000 12.920
N 0.000 -1.572 8.240
N -1.361 0.786 8.240
N -1.361 -0.786 12.854
N 1.361 0.786 8.240
N 1.361 -0.786 12.854
N 0.000 1.572 12.854
CELL_PARAMETERS angstrom
2.840 1.640 7.031
-2.840 1.640 7.031
0.000 -3.280 7.031

! La3Nd3Cd (PBE, optimized geometry); values from VASP
! crystal system = trigonal
! E above lowest polymorph = 148 meV/atom
! D(E_F) = 16.4 states/eV per cell
&SYSTEM
  ibrav = 0, nat = 14, ntyp = 3
/
ATOMIC_SPECIES
La 138.91 La.upf
Nd 144.24 Nd.upf
Cd 112.41 Cd.upf
ATOMIC_POSITIONS angstrom
La -0.677 -2.164 6.246
La -1.536 1.669 6.246
La -2.213 -0.495 15.895
La 2.213 0.495 6.246
La 1.536 -1.669 15.895
La 0.677 2.164 15.895
Nd -0.855 -1.956 9.821
Nd -2.121 -0.237 12.320
Nd -1.266 1.719 9.821
Nd 1.266 -1.719 12.320
Nd 2.121 0.237 9.821
Nd 0.855 1.956 12.320
Cd 0.000 0.000 3.567
Cd 0.000 0.000 18.575
CELL_PARAMETERS angstrom
4.364 2.520 7.380
-4.364 2.520 7.380
0.000 -5.039 7.380

! NbGa2NiSe (PBE, optimized geometry); values from VASP
! crystal system = tetragonal
! E_form (uncorrected) = 0.906 eV per atom
! D(E_F) = 6.0 states/eV per cell
&SYSTEM
  ibrav = 0, nat = 5, ntyp = 4
/
ATOMIC_SPECIES
Nb 92.91 Nb.upf
Ga 69.72 Ga.upf
Ni 58.69 Ni.upf
Se 78.96 Se.upf
ATOMIC_POSITIONS angstrom
Nb 0.000 0.000 0.000
Ga 0.000 2.560 0.000
Ga 2.560 0.000 0.000
Ni 0.000 0.000 2.297
Se 2.560 2.560 2.297
CELL_PARAMETERS angstrom
5.119 0.000 0.000
0.000 5.119 0.000
0.000 0.000 4.593

! SrFeNiSb2 (PBE, optimized geometry); values from VASP
! crystal system = tetragonal
! E_form (uncorrected) = 1.931 eV per atom
! D(E_F) = 8.3 states/eV per cell
&SYSTEM
  ibrav = 0, nat = 5, ntyp = 4
/
ATOMIC_SPECIES
Sr 87.62 Sr.upf
Fe 55.84 Fe.upf
Ni 58.69 Ni.upf
Sb 121.76 Sb.upf
ATOMIC_POSITIONS angstrom
Sr 0.000 0.000 0.000
Fe 2.944 2.944 2.337
Ni 0.000 0.000 2.337
Sb 0.000 2.944 0.000
Sb 2.944 0.000 0.000
CELL_PARAMETERS angstrom
5.888 0.000 0.000
0.000 5.888 0.000
0.000 0.000 4.673

! IrRu2O6 (PBE, optimized geometry); values from VASP
! crystal system = trigonal
! E_form (uncorrected) = -0.842 eV per atom
! D(E_F) = 19.7 states/eV per cell
&SYSTEM
  ibrav = 0, nat = 27, ntyp = 3
/
ATOMIC_SPECIES
Ir 192.22 Ir.upf
Ru 101.07 Ru.upf
O 16.00 O.upf
ATOMIC_POSITIONS angstrom
Ir 0.000 0.000 0.000
Ir 0.000 5.066 2.192
Ir 4.387 2.533 2.152
Ru -1.386 2.400 2.172
Ru -2.850 4.936 0.000
Ru 2.771 0.000 2.172
Ru 1.537 2.662 0.000
Ru 5.700 0.000 0.000
Ru 3.002 5.199 2.172
O -2.944 6.693 3.320
O -1.389 4.096 3.261
O 0.063 1.703 3.320
O -1.517 5.848 1.148
O 1.444 0.906 1.024
O 0.082 3.361 1.148
O -0.146 6.754 3.261
O 2.870 1.751 3.196
O 1.535 4.348 3.261
O 4.241 0.845 1.083
O 1.436 5.989 1.148
O 2.998 3.503 1.083
O 5.823 1.610 3.196
O 2.881 6.802 3.320
O 4.469 4.238 3.196
O 7.268 0.797 1.024
O 5.922 3.251 1.083
O 4.450 5.896 1.024
CELL_PARAMETERS angstrom
8.774 0.000 0.000
-4.387 7.599 0.000
0.000 0.000 4.344

! La2Ti2Mn (PBE, optimized geometry); values from VASP
! crystal system = tetragonal
! electronic total energy = -6.6762 eV/atom
! D(E_F) = 12.6 states/eV per cell
&SYSTEM
  ibrav = 0, nat = 10, ntyp = 3
/
ATOMIC_SPECIES
La 138.91 La.upf
Ti 47.87 Ti.upf
Mn 54.94 Mn.upf
ATOMIC_POSITIONS angstrom
La 1.093 2.084 0.000
La 2.084 5.261 0.000
La 4.270 1.093 0.000
La 5.261 4.270 0.000
Ti 1.044 4.221 2.788
Ti 2.133 1.044 2.788
Ti 4.221 5.311 2.788
Ti 5.311 2.133 2.788
Mn 0.000 0.000 2.788
Mn 3.177 3.177 2.788
CELL_PARAMETERS angstrom
6.354 0.000 0.000
0.000 6.354 0.000
0.000 0.000 5.575

! TlSiSb2 (PBE, optimized geometry); values from VASP
! crystal system = orthorhombic
! E above lowest polymorph = 194 meV/atom
! E_form (uncorrected) = 0.368 eV per atom
! D(E_F) = 2.3 states/eV per cell
&SYSTEM
  ibrav = 0, nat = 4, ntyp = 3
/
ATOMIC_SPECIES
Tl 204.38 Tl.upf
Si 28.09 Si.upf
Sb 121.76 Sb.upf
ATOMIC_POSITIONS angstrom
Tl 0.000 0.000 0.000
Si 2.057 0.000 7.275
Sb 0.000 0.000 5.457
Sb 2.057 0.000 2.735
CELL_PARAMETERS angstrom
2.057 -2.628 0.000
2.057 2.628 0.000
0.000 0.000 9.668

! LiGeBr2 (PBE, optimized geometry); values from VASP
! crystal system = cubic
! E above lowest polymorph = 133 meV/atom
! E_form (uncorrected) = -0.400 eV per atom
! D(E_F) = 1.7 states/eV per cell
&SYSTEM
  ibrav = 0, nat = 4, ntyp = 3
/
ATOMIC_SPECIES
Li 6.94 Li.upf
Ge 72.64 Ge.upf
Br 79.90 Br.upf
ATOMIC_POSITIONS angstrom
Li 0.000 0.000 0.000
Ge 3.596 3.596 3.596
Br 1.798 1.798 1.798
Br 5.394 5.394 5.394
CELL_PARAMETERS angstrom
0.000 3.596 3.596
3.596 0.000 3.596
3.596 3.596 0.000

! HfAsRh (PBE, optimized geometry); values from VASP
! crystal system = tetragonal
! electronic total energy = -7.9299 eV/atom
! D(E_F) = 1.2 states/eV per cell
&SYSTEM
  ibrav = 0, nat = 3, ntyp = 3
/
ATOMIC_SPECIES
Hf 178.49 Hf.upf
As 74.92 As.upf
Rh 102.91 Rh.upf
ATOMIC_POSITIONS angstrom
Hf 0.000 0.000 0.000
As 0.000 0.000 5.520
Rh 0.000 0.000 2.920
CELL_PARAMETERS angstrom
-1.785 1.785 4.130
1.785 -1.785 4.130
1.785 1.785 -4.130

! Ba3SnPt3 (PBE, optimized geometry); values from VASP
! crystal system = hexagonal
! E above lowest polymorph = 132 meV/atom
! D(E_F) = 7.8 states/eV per cell
&SYSTEM
  ibrav = 0, nat = 14, ntyp = 3
/
ATOMIC_SPECIES
Ba 137.33 Ba.upf
Sn 118.71 Sn.upf
Pt 195.08 Pt.upf
ATOMIC_POSITIONS angstrom
Ba -1.133 2.979 1.609
Ba -1.622 7.750 1.609
Ba 2.014 2.471 4.828
Ba 2.754 5.788 1.609
Ba 6.390 0.509 4.828
Ba 5.901 5.279 4.828
Sn 0.000 5.506 4.828
Sn 4.768 2.753 1.609
Pt -1.174 3.164 4.828
Pt -1.441 7.693 4.828
Pt 2.153 2.599 1.609
Pt 2.615 5.660 4.828
Pt 6.209 0.565 1.609
Pt 5.942 5.094 1.609
CELL_PARAMETERS angstrom
9.536 0.000 0.000
-4.768 8.259 0.000
0.000 0.000 6.437